No. 1
## NiS2N2 (GGA-PBE)

Data for a relaxed structure of NiS2N2.

abc: 3.424 3.424 9.792
angles: 90.00 90.00 90.00
Element x y z (fractional)
Ni 0.000 0.000 0.000
Ni 0.500 0.500 0.500
S 0.000 0.000 0.339
S 0.000 0.000 0.661
S 0.500 0.500 0.161
S 0.500 0.500 0.839
N 0.000 0.500 0.250
N 0.000 0.500 0.750
N 0.500 0.000 0.250
N 0.500 0.000 0.750

Space group: I4/mmm (139)
E (eV/atom): -4.481
Raw formation energy (eV per formula unit): 8.28
N(E_F) (states/eV per cell): 5.171
Calculated density (g/cm³): 4.363
Energy above the lowest structure with this stoichiometry (kJ/mol of formula units): 853



No. 2
## BaSbAu4 (GGA-PBE)

Data for a relaxed structure of BaSbAu4.

abc: 5.831 5.831 5.831
angles: 60.00 60.00 60.00
Element x y z (fractional)
Ba 0.000 0.000 0.000
Sb 0.750 0.750 0.750
Au 0.375 0.375 0.375
Au 0.375 0.375 0.874
Au 0.375 0.874 0.375
Au 0.874 0.375 0.375

Space group: F-43m (216)
E (eV/atom): -3.548
Raw formation energy (eV per formula unit): -2.14
N(E_F) (states/eV per cell): 1.510
Calculated density (g/cm³): 12.400
Energy above the lowest structure with this stoichiometry (kJ/mol of formula units): 5



No. 3
## TiTcSe2N (GGA-PBE)

Data for a relaxed structure of TiTcSe2N.

abc: 5.027 5.027 3.684
angles: 90.00 90.00 90.00
Element x y z (fractional)
Ti 0.000 0.000 0.000
Tc 0.500 0.500 0.500
Se 0.000 0.500 0.500
Se 0.500 0.000 0.500
N 0.500 0.500 0.000

Space group: P4/mmm (123)
E (eV/atom): -6.468
Raw formation energy (eV per formula unit): 1.22
N(E_F) (states/eV per cell): 8.645
Calculated density (g/cm³): 5.669
Energy above the lowest structure with this stoichiometry (kJ/mol of formula units): 0



No. 4
## NaSrTc2W (GGA-PBE)

Data for a relaxed structure of NaSrTc2W.

abc: 4.804 4.804 4.459
angles: 90.00 90.00 90.00
Element x y z (fractional)
Na 0.000 0.000 0.000
Sr 0.000 0.000 0.500
Tc 0.000 0.500 0.500
Tc 0.500 0.000 0.500
W 0.500 0.500 0.000

Space group: P4/mmm (123)
E (eV/atom): -4.554
N(E_F) (states/eV per cell): 7.934
Calculated density (g/cm³): 7.915
Energy of formation from the pure elements (eV/atom): 2.783



No. 5
## CoTc2Pt (GGA-PBE)

Data for a relaxed structure of CoTc2Pt.

abc: 2.675 3.842 5.410
angles: 90.00 90.00 90.00
Element x y z (fractional)
Co 0.000 0.000 0.000
Tc 0.000 0.000 0.525
Tc 0.500 0.500 0.772
Pt 0.500 0.500 0.255

Space group: Pmm2 (25)
E (eV/atom): -8.490
N(E_F) (states/eV per cell): 5.140
Calculated density (g/cm³): 13.440
Energy of formation from the pure elements (eV/atom): -0.021
Energy above the lowest structure with this stoichiometry (kJ/mol of formula units): 11



No. 6
## Mg2Cu5Ge (GGA-PBE)

Data for a relaxed structure of Mg2Cu5Ge.

abc: 5.601 5.601 7.169
angles: 90.00 90.00 90.00
Element x y z (fractional)
Mg 0.000 0.500 0.000
Mg 0.000 0.500 0.500
Mg 0.500 0.000 0.000
Mg 0.500 0.000 0.500
Cu 0.000 0.000 0.008
Cu 0.243 0.243 0.750
Cu 0.243 0.757 0.750
Cu 0.257 0.257 0.250
Cu 0.257 0.743 0.250
Cu 0.500 0.500 0.508
Cu 0.743 0.257 0.250
Cu 0.743 0.743 0.250
Cu 0.757 0.243 0.750
Cu 0.757 0.757 0.750
Ge 0.000 0.000 0.483
Ge 0.500 0.500 0.983

Space group: I4mm (107)
E (eV/atom): -3.561
N(E_F) (states/eV per cell): 6.288
Calculated density (g/cm³): 6.483
Energy of formation from the pure elements (eV/atom): -0.026



No. 7
## BeReBr2 (GGA-PBE)

Data for a relaxed structure of BeReBr2.

abc: 3.002 4.755 12.099
angles: 90.00 90.00 90.00
Element x y z (fractional)
Be 0.000 0.000 0.000
Be 0.500 0.500 0.500
Re 0.000 0.500 0.351
Re 0.500 0.000 0.851
Br 0.000 0.000 0.677
Br 0.000 0.500 0.879
Br 0.500 0.000 0.379
Br 0.500 0.500 0.177

Space group: Imm2 (44)
E (eV/atom): -4.035
Raw formation energy (eV per formula unit): 3.38
N(E_F) (states/eV per cell): 5.429
Calculated density (g/cm³): 6.827
Energy above the lowest structure with this stoichiometry (kJ/mol of formula units): 267



No. 8
## YInSb2 (GGA-PBE)

Data for a relaxed structure of YInSb2.

abc: 4.255 4.255 6.463
angles: 90.00 90.00 90.00
Element x y z (fractional)
Y 0.000 0.000 0.000
In 0.500 0.500 0.365
Sb 0.000 0.000 0.492
Sb 0.500 0.500 0.906

Space group: P4mm (99)
E (eV/atom): -4.869
Raw formation energy (eV per formula unit): -2.03
N(E_F) (states/eV per cell): 1.160
Calculated density (g/cm³): 6.348



Question: Among the records above, which one has the highest E?
Answer: BaSbAu4